A relaxed MgCrPC2 crystal. Source: Alexandria via LeMat-Bulk, functional PBE-GGA.

Properties
The value obtained for the total energy is -30.4 eV for the cell shown.

Structure (CIF):
```
data_MgCrPC2
_space_group_name_H-M_alt 'P 4/m m m'
_space_group_IT_number 123
_space_group_name_Hall '-P 4 2'
_cell_length_a 3.7452
_cell_length_b 3.7452
_cell_length_c 4.8775
_cell_angle_alpha 90.00
_cell_angle_beta 90.00
_cell_angle_gamma 90.00
loop_
_atom_site_label
_atom_site_fract_x
_atom_site_fract_y
_atom_site_fract_z
Mg1 0.0000 0.0000 0.0000
Cr1 0.5000 0.5000 0.5000
P1 0.5000 0.5000 0.0000
C1 0.0000 0.5000 0.5000
```